# 1
{"formula": "Li2NbSeO6", "functional": "PBE-GGA", "state": "optimized geometry", "raw_formation_energy_ev_per_atom": -1.62, "lattice": [[4.3936, 0.0000, 0.0000], [0.0000, 5.4329, 0.0000], [0.0000, 0.0000, 5.4329]], "species": ["Se", "O", "O", "O", "O", "O", "O", "Li", "Li", "Nb"], "fractional_positions": [[0.6271, 0.0000, 0.0000], [0.7294, 0.2464, 0.7536], [0.7294, 0.7536, 0.7536], [0.2504, 0.0000, 0.0000], [0.2067, 0.5000, 0.5000], [0.7294, 0.2464, 0.2464], [0.7294, 0.7536, 0.2464], [0.9150, 0.5000, 0.0000], [0.9150, 0.0000, 0.5000], [0.6149, 0.5000, 0.5000]]}

=====

# 2
{"formula": "Cs2K4Au3F2", "functional": "PBE-GGA", "state": "optimized geometry", "raw_formation_energy_ev_per_atom": -1.14, "lattice": [[5.2727, 0.0000, 0.0000], [0.0000, 5.2727, 0.0000], [-2.6363, -2.6363, 14.1924]], "species": ["K", "K", "K", "K", "Au", "Au", "Au", "F", "F", "Cs", "Cs"], "fractional_positions": [[0.4199, 0.9199, 0.8398], [0.9199, 0.4199, 0.8398], [0.0801, 0.5801, 0.1602], [0.5801, 0.0801, 0.1602], [0.0000, 0.0000, 0.0000], [0.1657, 0.1657, 0.3313], [0.8343, 0.8343, 0.6687], [0.4069, 0.4069, 0.8138], [0.5931, 0.5931, 0.1862], [0.3040, 0.3040, 0.6080], [0.6960, 0.6960, 0.3920]]}

=====

# 3
{"formula": "AlFe2Co", "functional": "PBE-GGA", "state": "optimized geometry", "delta_e_f_mev_per_atom": -238, "lattice": [[-2.8269, 0.2774, 0.2772], [0.2543, -1.2004, 3.7939], [0.4938, 3.8483, 1.1845]], "species": ["Al", "Fe", "Fe", "Co"], "fractional_positions": [[0.5000, 0.0000, 0.5000], [0.5000, 0.5000, 0.0000], [0.0000, 0.0000, 0.0000], [0.0000, 0.5000, 0.5000]]}

=====

# 4
{"formula": "PrHo2Zr", "functional": "PBE-GGA", "state": "optimized geometry", "delta_e_f_mev_per_atom": 113, "relative_energy_ev_per_atom": 0.029, "lattice": [[-0.4865, 0.1258, 4.8884], [4.5783, -1.6821, 0.4989], [1.6860, 4.6037, 0.0493]], "species": ["Ho", "Ho", "Pr", "Zr"], "fractional_positions": [[0.0000, 0.5000, 0.0000], [0.0000, 0.0000, 0.5000], [0.5000, 0.5000, 0.5000], [0.5000, 0.0000, 0.0000]]}

=====

# 5
{"formula": "SrP2S2", "functional": "PBE-GGA", "state": "optimized geometry", "raw_formation_energy_ev_per_atom": -0.40, "relative_energy_ev_per_atom": 0.024, "lattice": [[-5.9131, 1.3986, -4.5849], [-4.5416, -3.9637, 4.6481], [-0.8327, 3.4464, 2.1253]], "species": ["P", "P", "P", "P", "S", "S", "S", "S", "Sr", "Sr"], "fractional_positions": [[0.8925, 0.6075, 0.0000], [0.3925, 0.8925, 0.0000], [0.6075, 0.1075, 0.0000], [0.1075, 0.3925, 0.0000], [0.7995, 0.7005, 0.5000], [0.2995, 0.7995, 0.5000], [0.7005, 0.2005, 0.5000], [0.2005, 0.2995, 0.5000], [0.0000, 0.0000, 0.0000], [0.5000, 0.5000, 0.0000]]}

=====

# 6
{"formula": "PaSiGe", "functional": "PBE-GGA", "state": "optimized geometry", "raw_formation_energy_ev_per_atom": 0.22, "relative_energy_ev_per_atom": 0.607, "lattice": [[7.0206, 0.0000, 0.0000], [3.5103, 6.0800, 0.0000], [3.5103, 2.0267, 5.7323]], "species": ["Ge", "Ge", "Ge", "Ge", "Pa", "Pa", "Pa", "Pa", "Si", "Si", "Si", "Si"], "fractional_positions": [[0.1512, 0.5465, 0.1512], [0.1512, 0.1512, 0.1512], [0.5465, 0.1512, 0.1512], [0.1512, 0.1512, 0.5465], [0.1505, 0.6165, 0.6165], [0.6165, 0.6165, 0.1505], [0.6165, 0.6165, 0.6165], [0.6165, 0.1505, 0.6165], [0.9064, 0.2807, 0.9064], [0.2807, 0.9064, 0.9064], [0.9064, 0.9064, 0.2807], [0.9064, 0.9064, 0.9064]]}